1.
Entry from Alexandria: a relaxed structure of LaCdH2 (PBEsol).

Its calculated total energy is -14.1 eV per formula unit.

CIF file:
```
data_LaCdH2
_chemical_formula_sum 'La4 Cd4 H8'
_symmetry_space_group_name_H-M 'F m -3 m'
_symmetry_Int_Tables_number 225
_symmetry_space_group_name_Hall '-F 4 2 3'
_cell_length_a 6.1964
_cell_length_b 6.1964
_cell_length_c 6.1964
_cell_angle_alpha 90.00
_cell_angle_beta 90.00
_cell_angle_gamma 90.00
loop_
_atom_site_label
_atom_site_fract_x
_atom_site_fract_y
_atom_site_fract_z
La1 0.0000 0.0000 0.0000
Cd1 0.0000 0.0000 0.5000
H1 0.2500 0.2500 0.2500
```

=====

2.
Entry from Alexandria: a relaxed structure of SiSnSbTe2 (PBEsol).

The formation energy (no corrections) is 0.36 eV/atom.

CIF file:
```
data_SiSnSbTe2
_chemical_formula_sum 'Si1 Sn1 Sb1 Te2'
_symmetry_space_group_name_H-M 'P 4/m m m'
_symmetry_Int_Tables_number 123
_symmetry_space_group_name_Hall '-P 4 2'
_cell_length_a 5.2493
_cell_length_b 5.2493
_cell_length_c 5.1193
_cell_angle_alpha 90.00
_cell_angle_beta 90.00
_cell_angle_gamma 90.00
loop_
_atom_site_label
_atom_site_fract_x
_atom_site_fract_y
_atom_site_fract_z
Si1 0.0000 0.0000 0.0000
Sn1 0.5000 0.5000 0.5000
Sb1 0.0000 0.0000 0.5000
Te1 0.0000 0.5000 0.0000
```

=====

Which formula does entry 2 have?
SiSnSbTe2